Entry from Alexandria via LeMat-Bulk: crystalline LiIn3Pb3 at its relaxed geometry (PBE-GGA).

Values from the calculation:
As for the volume: 391.4 Å³/cell. For the magnetization, the calculation gives 0.00 μB per cell. The total energy is -43.07 eV/cell. The value obtained for the formation energy is -3.84 kJ/mol of atoms. Its relative energy among the computed polymorphs is 0 meV/atom.

Cell lengths 8.953, 8.953, 5.638 Å; angles 90.00, 90.00, 120.00 degrees
Element x y z (fractional)
1 Li 0.333 0.667 0.250
2 Li 0.667 0.333 0.750
3 In 0.053 0.816 0.250
4 In 0.184 0.237 0.250
5 In 0.237 0.053 0.750
6 In 0.763 0.947 0.250
7 In 0.816 0.763 0.750
8 In 0.947 0.184 0.750
9 Pb 0.089 0.612 0.750
10 Pb 0.388 0.477 0.750
11 Pb 0.477 0.089 0.250
12 Pb 0.523 0.911 0.750
13 Pb 0.612 0.523 0.250
14 Pb 0.911 0.388 0.250

---

Entry from Alexandria via LeMat-Bulk: crystalline PmGe4Pd2 at its relaxed geometry (PBE-GGA).

Values from the calculation:
As for the volume: 527.3 Å³/cell. For the magnetization, the calculation gives 0.00 μB per cell. The total energy is -149.36 eV/cell. The value obtained for the formation energy is -51.47 kJ/mol of atoms. Its relative energy among the computed polymorphs is 0 meV/atom.

Cell lengths 17.455, 4.412, 6.846 Å; angles 90.00, 90.00, 90.00 degrees
Element x y z (fractional)
1 Pm 0.142 0.250 0.017
2 Pm 0.358 0.750 0.517
3 Pm 0.642 0.250 0.483
4 Pm 0.858 0.750 0.983
5 Ge 0.038 0.750 0.855
6 Ge 0.063 0.250 0.469
7 Ge 0.178 0.750 0.328
8 Ge 0.193 0.750 0.736
9 Ge 0.307 0.250 0.236
10 Ge 0.322 0.250 0.828
11 Ge 0.437 0.750 0.969
12 Ge 0.462 0.250 0.355
13 Ge 0.538 0.750 0.645
14 Ge 0.563 0.250 0.031
15 Ge 0.678 0.750 0.172
16 Ge 0.693 0.750 0.764
17 Ge 0.807 0.250 0.264
18 Ge 0.822 0.250 0.672
19 Ge 0.937 0.750 0.531
20 Ge 0.962 0.250 0.145
21 Pd 0.029 0.750 0.237
22 Pd 0.212 0.250 0.541
23 Pd 0.288 0.750 0.041
24 Pd 0.471 0.250 0.737
25 Pd 0.529 0.750 0.263
26 Pd 0.712 0.250 0.959
27 Pd 0.788 0.750 0.459
28 Pd 0.971 0.250 0.763

---

Entry from Alexandria via LeMat-Bulk: crystalline Pu2SbTe at its relaxed geometry (PBE-GGA).

Values from the calculation:
As for the volume: 108.0 Å³/cell. The value obtained for the energy relative to the elements, uncorrected is -776.2 meV/atom. For the magnetization, the calculation gives 11.49 μB per cell. The total energy is -39.03 eV/cell. Its relative energy among the computed polymorphs is 94 meV/atom.

Cell lengths 3.724, 3.724, 7.784 Å; angles 90.00, 90.00, 90.00 degrees
Element x y z (fractional)
1 Pu 0.000 0.000 0.250
2 Pu 0.000 0.000 0.750
3 Sb 0.500 0.500 0.000
4 Te 0.500 0.500 0.500

---

Entry from Alexandria via LeMat-Bulk: crystalline OsC4Cl2O4 at its relaxed geometry (PBE-GGA).

Values from the calculation:
As for the volume: 463.4 Å³/cell. The value obtained for the energy relative to the elements, uncorrected is -681.5 meV/atom. For the magnetization, the calculation gives 0.00 μB per cell. The total energy is -158.30 eV/cell. Its relative energy among the computed polymorphs is 51 meV/atom.

Cell lengths 6.158, 6.158, 12.220 Å; angles 90.00, 90.00, 90.00 degrees
Element x y z (fractional)
1 Os 0.000 0.000 0.000
2 Os 0.500 0.500 0.500
3 C 0.159 0.159 0.115
4 C 0.159 0.159 0.885
5 C 0.341 0.659 0.385
6 C 0.341 0.659 0.615
7 C 0.659 0.341 0.385
8 C 0.659 0.341 0.615
9 C 0.841 0.841 0.115
10 C 0.841 0.841 0.885
11 Cl 0.220 0.220 0.500
12 Cl 0.280 0.720 0.000
13 Cl 0.720 0.280 0.000
14 Cl 0.780 0.780 0.500
15 O 0.249 0.249 0.184
16 O 0.249 0.249 0.816
17 O 0.251 0.749 0.316
18 O 0.251 0.749 0.684
19 O 0.749 0.251 0.316
20 O 0.749 0.251 0.684
21 O 0.751 0.751 0.184
22 O 0.751 0.751 0.816

---

Entry from Alexandria via LeMat-Bulk: crystalline Dy6NpS8 at its relaxed geometry (PBE-GGA).

Values from the calculation:
As for the volume: 336.0 Å³/cell. The value obtained for the energy relative to the elements, uncorrected is -1931.3 meV/atom. For the magnetization, the calculation gives 5.06 μB per cell. The total energy is -102.54 eV/cell.

Cell lengths 7.803, 7.803, 7.803 Å; angles 60.00, 60.00, 60.00 degrees
Element x y z (fractional)
1 Dy 0.000 0.000 0.500
2 Dy 0.000 0.500 0.000
3 Dy 0.000 0.500 0.500
4 Dy 0.500 0.000 0.000
5 Dy 0.500 0.000 0.500
6 Dy 0.500 0.500 0.000
7 Np 0.000 0.000 0.000
8 S 0.250 0.250 0.250
9 S 0.252 0.252 0.748
10 S 0.252 0.748 0.252
11 S 0.252 0.748 0.748
12 S 0.748 0.252 0.252
13 S 0.748 0.252 0.748
14 S 0.748 0.748 0.252
15 S 0.750 0.750 0.750

---

Entry from Alexandria via LeMat-Bulk: crystalline LiNiRu3 at its relaxed geometry (PBE-GGA).

Values from the calculation:
As for the volume: 65.8 Å³/cell. For the magnetization, the calculation gives 0.00 μB per cell. The total energy is -29.57 eV/cell. The value obtained for the formation energy is 114.92 kJ/mol of atoms. Its relative energy among the computed polymorphs is 0 meV/atom.

Cell lengths 4.037, 4.037, 4.037 Å; angles 90.00, 90.00, 90.00 degrees
Element x y z (fractional)
1 Li 0.000 0.000 0.000
2 Ni 0.500 0.500 0.500
3 Ru 0.000 0.000 0.500
4 Ru 0.000 0.500 0.000
5 Ru 0.500 0.000 0.000

---

Entry from Alexandria via LeMat-Bulk: crystalline K2RbCO3F at its relaxed geometry (PBE-GGA).

Values from the calculation:
As for the volume: 288.0 Å³/cell. The value obtained for the energy relative to the elements, uncorrected is -1986.1 meV/atom. For the magnetization, the calculation gives 0.02 μB per cell. The total energy is -90.04 eV/cell.

Cell lengths 7.098, 7.098, 7.227 Å; angles 114.99, 114.99, 66.37 degrees
Element x y z (fractional)
1 K 0.000 0.000 0.000
2 K 0.164 0.422 0.580
3 K 0.578 0.836 0.420
4 K 0.663 0.337 0.500
5 Rb 0.078 0.489 0.069
6 Rb 0.511 0.922 0.931
7 C 0.077 0.923 0.500
8 C 0.582 0.418 0.000
9 O 0.077 0.093 0.671
10 O 0.245 0.755 0.500
11 O 0.414 0.586 0.000
12 O 0.591 0.258 0.823
13 O 0.742 0.409 0.177
14 O 0.907 0.923 0.329
15 F 0.329 0.164 0.263
16 F 0.836 0.671 0.737

---

Entry from Alexandria via LeMat-Bulk: crystalline Ba2NaHg3Pb4 at its relaxed geometry (PBE-GGA).

Values from the calculation:
As for the volume: 330.8 Å³/cell. For the magnetization, the calculation gives 0.00 μB per cell. The total energy is -24.24 eV/cell. The value obtained for the formation energy is -32.15 kJ/mol of atoms.

Cell lengths 5.002, 5.002, 13.221 Å; angles 90.00, 90.00, 90.00 degrees
Element x y z (fractional)
1 Ba 0.000 0.500 0.247
2 Ba 0.500 0.000 0.753
3 Na 0.000 0.000 0.500
4 Hg 0.000 0.500 0.857
5 Hg 0.500 0.000 0.143
6 Hg 0.500 0.500 0.500
7 Pb 0.000 0.000 0.000
8 Pb 0.000 0.500 0.638
9 Pb 0.500 0.000 0.362
10 Pb 0.500 0.500 0.000

---

Entry from Alexandria via LeMat-Bulk: crystalline ScBeMo2 at its relaxed geometry (PBE-GGA).

Values from the calculation:
As for the volume: 188.9 Å³/cell. For the magnetization, the calculation gives 0.00 μB per cell. The total energy is -90.28 eV/cell. The value obtained for the formation energy is 39.20 kJ/mol of atoms.

Cell lengths 2.888, 2.888, 26.152 Å; angles 90.00, 90.00, 120.00 degrees
Element x y z (fractional)
1 Sc 0.000 0.000 0.000
2 Sc 0.333 0.667 0.667
3 Sc 0.667 0.333 0.333
4 Be 0.000 0.000 0.500
5 Be 0.333 0.667 0.167
6 Be 0.667 0.333 0.833
7 Mo 0.000 0.000 0.240
8 Mo 0.000 0.000 0.760
9 Mo 0.333 0.667 0.427
10 Mo 0.333 0.667 0.907
11 Mo 0.667 0.333 0.093
12 Mo 0.667 0.333 0.573

---

Entry from Alexandria via LeMat-Bulk: crystalline PmIn4SnRh2 at its relaxed geometry (PBE-GGA).

Values from the calculation:
As for the volume: 199.0 Å³/cell. For the magnetization, the calculation gives 0.00 μB per cell. The total energy is -34.67 eV/cell. The value obtained for the formation energy is -3.14 kJ/mol of atoms.

Cell lengths 4.210, 4.210, 11.230 Å; angles 90.00, 90.00, 90.00 degrees
Element x y z (fractional)
1 Pm 0.000 0.000 0.000
2 In 0.000 0.500 0.230
3 In 0.000 0.500 0.770
4 In 0.500 0.000 0.230
5 In 0.500 0.000 0.770
6 Sn 0.000 0.000 0.500
7 Rh 0.500 0.500 0.387
8 Rh 0.500 0.500 0.613

---

Entry from Alexandria via LeMat-Bulk: crystalline RbZrRh2I at its relaxed geometry (PBE-GGA).

Values from the calculation:
As for the volume: 195.9 Å³/cell. The value obtained for the energy relative to the elements, uncorrected is 487.7 meV/atom. For the magnetization, the calculation gives 0.00 μB per cell. The total energy is -23.33 eV/cell.

Cell lengths 4.843, 4.843, 8.352 Å; angles 90.00, 90.00, 90.00 degrees
Element x y z (fractional)
1 Rb 0.000 0.000 0.000
2 Zr 0.000 0.000 0.500
3 Rh 0.000 0.500 0.500
4 Rh 0.500 0.000 0.500
5 I 0.500 0.500 0.000

---

Entry from Alexandria via LeMat-Bulk: crystalline ScMnVBi2 at its relaxed geometry (PBE-GGA).

Values from the calculation:
As for the volume: 128.5 Å³/cell. For the magnetization, the calculation gives 0.50 μB per cell. The total energy is -25.36 eV/cell. The value obtained for the formation energy is 135.46 kJ/mol of atoms.

Cell lengths 5.500, 5.500, 4.246 Å; angles 90.00, 90.00, 90.00 degrees
Element x y z (fractional)
1 Sc 0.000 0.000 0.000
2 Mn 0.000 0.000 0.500
3 V 0.500 0.500 0.500
4 Bi 0.000 0.500 0.000
5 Bi 0.500 0.000 0.000